# Ta2HgPb, optimized geometry, DFT GGA-PBEsol
data_Ta2HgPb
_cell_length_a 3.635
_cell_length_b 4.730
_cell_length_c 9.134
_cell_angle_alpha 90.00
_cell_angle_beta 90.00
_cell_angle_gamma 90.00
_space_group_name_H-M_alt 'C m m m'
_space_group_IT_number 65
_space_group_name_Hall '-C 2 2'
loop_
_atom_site_label
_atom_site_type_symbol
_atom_site_fract_x
_atom_site_fract_y
_atom_site_fract_z
_atom_site_occupancy
Ta1 Ta 0.000 0.000 0.245 1
Hg1 Hg 0.000 0.500 0.000 1
Pb1 Pb 0.000 0.500 0.500 1
# - M_tot (μB per formula unit) = 0.000
# - E (eV/atom) = -6.92

---

# HfZrZn2, optimized geometry, DFT GGA-PBEsol
data_HfZrZn2
_cell_length_a 6.541
_cell_length_b 6.541
_cell_length_c 6.541
_cell_angle_alpha 90.00
_cell_angle_beta 90.00
_cell_angle_gamma 90.00
_space_group_name_H-M_alt 'F m -3 m'
_space_group_IT_number 225
_space_group_name_Hall '-F 4 2 3'
loop_
_atom_site_label
_atom_site_type_symbol
_atom_site_fract_x
_atom_site_fract_y
_atom_site_fract_z
_atom_site_occupancy
Hf1 Hf 0.000 0.000 0.000 1
Zr1 Zr 0.000 0.000 0.500 1
Zn1 Zn 0.250 0.250 0.250 1
# - M_tot (μB per formula unit) = 0.000
# - E (eV/atom) = -5.95

---

# Tc2TeIr, optimized geometry, DFT GGA-PBEsol
data_Tc2TeIr
_cell_length_a 2.939
_cell_length_b 4.598
_cell_length_c 4.680
_cell_angle_alpha 90.00
_cell_angle_beta 90.00
_cell_angle_gamma 90.00
_space_group_name_H-M_alt 'P m m m'
_space_group_IT_number 47
loop_
_space_group_symop_operation_xyz
'x,y,z'
'-x,-y,-z'
'-x,-y,z'
'x,y,-z'
'x,-y,-z'
'-x,y,z'
'-x,y,-z'
'x,-y,z'
loop_
_atom_site_label
_atom_site_type_symbol
_atom_site_fract_x
_atom_site_fract_y
_atom_site_fract_z
_atom_site_occupancy
Tc1 Tc 0.000 0.000 0.000 1
Tc2 Tc 0.500 0.500 0.000 1
Te1 Te 0.000 0.500 0.500 1
Ir1 Ir 0.500 0.000 0.500 1
# - M_tot (μB per formula unit) = 0.312
# - E (eV/atom) = -8.40

---

# La4CdCl, optimized geometry, DFT GGA-PBEsol
data_La4CdCl
_cell_length_a 8.977
_cell_length_b 8.977
_cell_length_c 8.977
_cell_angle_alpha 90.00
_cell_angle_beta 90.00
_cell_angle_gamma 90.00
_space_group_name_H-M_alt 'F -4 3 m'
_space_group_IT_number 216
_space_group_name_Hall 'F -4 2 3'
loop_
_atom_site_label
_atom_site_type_symbol
_atom_site_fract_x
_atom_site_fract_y
_atom_site_fract_z
_atom_site_occupancy
La1 La 0.123 0.123 0.123 1
Cd1 Cd 0.250 0.250 0.750 1
Cl1 Cl 0.000 0.000 0.500 1
# - M_tot (μB per formula unit) = 0.000
# - E (eV/atom) = -4.00

---

# MgTa2Te, optimized geometry, DFT GGA-PBEsol
data_MgTa2Te
_cell_length_a 9.580
_cell_length_b 3.278
_cell_length_c 5.051
_cell_angle_alpha 90.00
_cell_angle_beta 104.30
_cell_angle_gamma 90.00
_space_group_name_H-M_alt 'C 1 m 1'
_space_group_IT_number 8
loop_
_space_group_symop_operation_xyz
'x,y,z'
'x,-y,z'
'x+1/2,y+1/2,z'
'x+1/2,-y+1/2,z'
loop_
_atom_site_label
_atom_site_type_symbol
_atom_site_fract_x
_atom_site_fract_y
_atom_site_fract_z
_atom_site_occupancy
Mg1 Mg 0.000 0.000 0.000 1
Ta1 Ta 0.257 0.500 0.251 1
Ta2 Ta 0.495 0.000 0.490 1
Te1 Te 0.241 0.000 0.730 1
# - M_tot (μB per formula unit) = 0.000
# - E (eV/atom) = -7.31

---

# BiSbPtI2, optimized geometry, DFT GGA-PBEsol
data_BiSbPtI2
_cell_length_a 5.316
_cell_length_b 5.316
_cell_length_c 5.287
_cell_angle_alpha 90.00
_cell_angle_beta 90.00
_cell_angle_gamma 90.00
_space_group_name_H-M_alt 'P 4/m m m'
_space_group_IT_number 123
_space_group_name_Hall '-P 4 2'
loop_
_atom_site_label
_atom_site_type_symbol
_atom_site_fract_x
_atom_site_fract_y
_atom_site_fract_z
_atom_site_occupancy
Bi1 Bi 0.000 0.000 0.000 1
Sb1 Sb 0.500 0.500 0.000 1
Pt1 Pt 0.500 0.500 0.500 1
I1 I 0.000 0.500 0.500 1
# - M_tot (μB per formula unit) = 0.000
# - E (eV/atom) = -3.61

---

Q: Look up the M_tot of the second one.
A: 0.000 μB per formula unit

---

Repeat the fourth record exactly.
# La4CdCl, optimized geometry, DFT GGA-PBEsol
data_La4CdCl
_cell_length_a 8.977
_cell_length_b 8.977
_cell_length_c 8.977
_cell_angle_alpha 90.00
_cell_angle_beta 90.00
_cell_angle_gamma 90.00
_space_group_name_H-M_alt 'F -4 3 m'
_space_group_IT_number 216
_space_group_name_Hall 'F -4 2 3'
loop_
_atom_site_label
_atom_site_type_symbol
_atom_site_fract_x
_atom_site_fract_y
_atom_site_fract_z
_atom_site_occupancy
La1 La 0.123 0.123 0.123 1
Cd1 Cd 0.250 0.250 0.750 1
Cl1 Cl 0.000 0.000 0.500 1
# - M_tot (μB per formula unit) = 0.000
# - E (eV/atom) = -4.00

---

Q: Number 1 is which compound?
A: Ta2HgPb